Entry P
## AcPr4Sm7 (PBE)

Data for an optimized crystal structure of AcPr4Sm7.

As for the density of states at the Fermi level: 38.01 states/eV/cell. The calculation puts the spin magnetization at 0.0 μB per formula unit.

The space group is C2/m (No. 12) and the conventional cell measures 12.433, 6.235 and 12.931 Å, with angles of 90.00, 118.40 and 90.00 degrees. The inequivalent atoms are Ac at (0.000, 0.000, 0.000), Pr at (0.068, 0.500, 0.323), Pr at (0.144, 0.000, 0.777), Sm at (0.000, 0.500, 0.000), Sm at (0.129, 0.000, 0.499), Sm at (0.204, 0.500, 0.920) and Sm at (0.226, 0.500, 0.667).

***

Entry Q
## AcPr4Sm7 (PBE)

Data for an optimized crystal structure of AcPr4Sm7.

As for the density of states at the Fermi level: 16.48 states/eV/cell. The calculation puts the spin magnetization at 0.0 μB per formula unit.

The space group is P-1 (No. 2) and the conventional cell measures 6.431, 7.431 and 9.184 Å, with angles of 90.02, 103.49 and 90.03 degrees. The inequivalent atoms are Ac at (0.000, 0.000, 0.000), Pr at (0.221, 0.500, 0.669), Pr at (0.280, 0.748, 0.335), Sm at (0.000, 0.500, 0.000), Sm at (0.224, 0.999, 0.665), Sm at (0.279, 0.252, 0.334) and Sm at (0.500, 0.252, 0.001).

***

Relative energies with respect to the most stable structure, expressed in meV/atom: entry P 239; entry Q 0.

***

Entry P
## AcPr3Sm (PBE)

Data for an optimized crystal structure of AcPr3Sm.

As for the density of states at the Fermi level: 31.05 states/eV/cell. The calculation puts the spin magnetization at 0.0 μB per formula unit.

The space group is P2_1/c (No. 14) and the conventional cell measures 6.398, 7.099 and 17.607 Å, with angles of 90.00, 109.53 and 90.00 degrees. The inequivalent atoms are Ac at (0.048, 0.062, 0.344), Pr at (0.214, 0.553, 0.370), Pr at (0.218, 0.166, 0.054), Pr at (0.362, 0.662, 0.049) and Sm at (0.454, 0.629, 0.746).

***

Entry Q
## AcPr3Sm (PBE)

Data for an optimized crystal structure of AcPr3Sm.

As for the density of states at the Fermi level: 19.61 states/eV/cell. The calculation puts the spin magnetization at 0.0 μB per formula unit.

The space group is Cmcm (No. 63) and the conventional cell measures 8.272, 14.962 and 6.409 Å, with angles of 90.00, 90.00 and 90.00 degrees. The inequivalent atoms are Ac at (0.000, 0.202, 0.250), Pr at (0.000, 0.000, 0.000), Pr at (0.198, 0.405, 0.250) and Sm at (0.000, 0.350, 0.750).

***

Relative energies with respect to the most stable structure, expressed in meV/atom: entry P 0; entry Q 235.

***

Entry P
## AcPr7Sm4 (PBE)

Data for an optimized crystal structure of AcPr7Sm4.

As for the density of states at the Fermi level: 16.83 states/eV/cell. The calculation puts the spin magnetization at 0.0 μB per formula unit.

The space group is P-1 (No. 2) and the conventional cell measures 6.471, 7.484 and 9.221 Å, with angles of 90.02, 103.55 and 90.01 degrees. The inequivalent atoms are Ac at (0.000, 0.000, 0.000), Pr at (0.000, 0.500, 0.000), Pr at (0.226, 0.999, 0.664), Pr at (0.280, 0.746, 0.336), Pr at (0.500, 0.255, 0.001), Sm at (0.219, 0.499, 0.667) and Sm at (0.278, 0.256, 0.334).

***

Entry Q
## AcPr7Sm4 (PBE)

Data for an optimized crystal structure of AcPr7Sm4.

As for the density of states at the Fermi level: 39.36 states/eV/cell. The calculation puts the spin magnetization at 0.3 μB per formula unit.

The space group is C2/m (No. 12) and the conventional cell measures 16.403, 6.271 and 9.609 Å, with angles of 90.00, 116.68 and 90.00 degrees. The inequivalent atoms are Ac at (0.000, 0.000, 0.000), Pr at (0.000, 0.500, 0.000), Pr at (0.091, 0.000, 0.462), Pr at (0.214, 0.000, 0.892), Pr at (0.228, 0.000, 0.261), Sm at (0.066, 0.500, 0.702) and Sm at (0.168, 0.500, 0.357).

***

Relative energies with respect to the most stable structure, expressed in meV/atom: entry P 0; entry Q 206.

***

Entry P
## Ac2PrSm2 (PBE)

Data for an optimized crystal structure of Ac2PrSm2.

As for the density of states at the Fermi level: 16.21 states/eV/cell. The calculation puts the spin magnetization at 0.0 μB per formula unit.

The space group is P4/mbm (No. 127) and the conventional cell measures 8.789, 8.789 and 5.102 Å, with angles of 90.00, 90.00 and 90.00 degrees. The inequivalent atoms are Ac at (0.163, 0.337, 0.000), Pr at (0.000, 0.000, 0.500) and Sm at (0.138, 0.638, 0.500).

***

Entry Q
## Ac2PrSm2 (PBE)

Data for an optimized crystal structure of Ac2PrSm2.

As for the density of states at the Fermi level: 29.14 states/eV/cell. The calculation puts the spin magnetization at 0.0 μB per formula unit.

The space group is C2/c (No. 15) and the conventional cell measures 18.059, 6.840 and 6.597 Å, with angles of 90.00, 107.67 and 90.00 degrees. The inequivalent atoms are Ac at (0.193, 0.147, 0.195), Pr at (0.000, 0.081, 0.250) and Sm at (0.089, 0.382, 0.659).

***

Relative energies with respect to the most stable structure, expressed in meV/atom: entry P 111; entry Q 0.

***

Entry P
## Ac2Pr12Sm5 (PBE)

Data for an optimized crystal structure of Ac2Pr12Sm5.

As for the density of states at the Fermi level: 59.21 states/eV/cell. The calculation puts the spin magnetization at 0.0 μB per formula unit.

The space group is C2/m (No. 12) and the conventional cell measures 13.505, 11.920 and 9.718 Å, with angles of 90.00, 116.92 and 90.00 degrees. The inequivalent atoms are Ac at (0.000, 0.234, 0.000), Pr at (0.075, 0.000, 0.775), Pr at (0.109, 0.219, 0.425), Pr at (0.126, 0.500, 0.945), Pr at (0.190, 0.256, 0.802), Sm at (0.000, 0.500, 0.500), Sm at (0.190, 0.500, 0.331) and Sm at (0.193, 0.000, 0.240).

***

Entry Q
## Ac2Pr12Sm5 (PBE)

Data for an optimized crystal structure of Ac2Pr12Sm5.

As for the density of states at the Fermi level: 56.19 states/eV/cell. The calculation puts the spin magnetization at 0.0 μB per formula unit.

The space group is C2/m (No. 12) and the conventional cell measures 18.657, 11.975 and 6.404 Å, with angles of 90.00, 103.54 and 90.00 degrees. The inequivalent atoms are Ac at (0.000, 0.222, 0.000), Pr at (0.060, 0.500, 0.282), Pr at (0.104, 0.250, 0.605), Pr at (0.130, 0.000, 0.986), Pr at (0.203, 0.257, 0.205), Sm at (0.000, 0.000, 0.500), Sm at (0.173, 0.500, 0.857) and Sm at (0.214, 0.000, 0.538).

***

Relative energies with respect to the most stable structure, expressed in meV/atom: entry P 7; entry Q 0.

***

Entry P
## Ac7Pr4Sm (PBE)

Data for an optimized crystal structure of Ac7Pr4Sm.

As for the density of states at the Fermi level: 19.26 states/eV/cell. The calculation puts the spin magnetization at 0.0 μB per formula unit.

The space group is P-1 (No. 2) and the conventional cell measures 6.757, 7.776 and 9.657 Å, with angles of 89.66, 76.71 and 89.91 degrees. The inequivalent atoms are Ac at (0.000, 0.000, 0.000), Ac at (0.221, 0.499, 0.332), Ac at (0.281, 0.754, 0.665), Ac at (0.498, 0.250, 0.995), Pr at (0.221, 0.001, 0.334), Pr at (0.272, 0.249, 0.670) and Sm at (0.000, 0.500, 0.000).

***

Entry Q
## Ac7Pr4Sm (PBE)

Data for an optimized crystal structure of Ac7Pr4Sm.

As for the density of states at the Fermi level: 42.19 states/eV/cell. The calculation puts the spin magnetization at 0.0 μB per formula unit.

The space group is C2/m (No. 12) and the conventional cell measures 17.301, 6.472 and 10.478 Å, with angles of 90.00, 120.38 and 90.00 degrees. The inequivalent atoms are Ac at (0.000, 0.000, 0.000), Ac at (0.086, 0.500, 0.443), Ac at (0.203, 0.500, 0.878), Ac at (0.228, 0.500, 0.258), Pr at (0.060, 0.000, 0.701), Pr at (0.169, 0.000, 0.357) and Sm at (0.000, 0.500, 0.000).

***

Relative energies with respect to the most stable structure, expressed in meV/atom: entry P 0; entry Q 204.

***

Entry P
## AcPr4Sm2 (PBE)

Data for an optimized crystal structure of AcPr4Sm2.

As for the density of states at the Fermi level: 43.65 states/eV/cell. The calculation puts the spin magnetization at 0.0 μB per formula unit.

The space group is R-3m (No. 166, hexagonal axes) and the conventional cell measures 5.8904, 5.8904 and 25.6227 Å, with angles of 90.00, 90.00 and 120.00 degrees. The inequivalent atoms are Ac at (0.0000, 0.0000, 0.0000), Pr at (0.0000, 0.0000, 0.2692), Pr at (0.0000, 0.0000, 0.4209) and Sm at (0.0000, 0.0000, 0.1380).

***

Entry Q
## AcPr4Sm2 (PBE)

Data for an optimized crystal structure of AcPr4Sm2.

As for the density of states at the Fermi level: 24.31 states/eV/cell. The calculation puts the spin magnetization at 0.0 μB per formula unit.

The space group is C2/m (No. 12) and the conventional cell measures 12.371, 6.652 and 6.439 Å, with angles of 90.00, 98.59 and 90.00 degrees. The inequivalent atoms are Ac at (0.000, 0.000, 0.000), Pr at (0.162, 0.000, 0.508), Pr at (0.250, 0.250, 0.000) and Sm at (0.041, 0.500, 0.267).

***

Relative energies with respect to the most stable structure, expressed in meV/atom: entry P 0; entry Q 95.

***

Entry P
## AcPr2Sm7 (PBE)

Data for an optimized crystal structure of AcPr2Sm7.

As for the density of states at the Fermi level: 26.40 states/eV/cell. The calculation puts the spin magnetization at 0.0 μB per formula unit.

The space group is Cmmm (No. 65) and the conventional cell measures 8.892, 16.451 and 5.695 Å, with angles of 90.00, 90.00 and 90.00 degrees. The inequivalent atoms are Ac at (0.000, 0.000, 0.000), Pr at (0.000, 0.298, 0.500), Sm at (0.000, 0.230, 0.000), Sm at (0.000, 0.500, 0.500) and Sm at (0.180, 0.117, 0.500).

***

Entry Q
## AcPr2Sm7 (PBE)

Data for an optimized crystal structure of AcPr2Sm7.

As for the density of states at the Fermi level: 32.32 states/eV/cell. The calculation puts the spin magnetization at 0.0 μB per formula unit.

The space group is Cmmm (No. 65) and the conventional cell measures 12.029, 17.267 and 3.609 Å, with angles of 90.00, 90.00 and 90.00 degrees. The inequivalent atoms are Ac at (0.000, 0.000, 0.000), Pr at (0.000, 0.179, 0.500), Sm at (0.000, 0.329, 0.000), Sm at (0.000, 0.500, 0.500) and Sm at (0.242, 0.368, 0.500).

***

Relative energies with respect to the most stable structure, expressed in meV/atom: entry P 227; entry Q 0.

***

Entry P
## Ac2PrSm6 (PBE)

Data for an optimized crystal structure of Ac2PrSm6.

As for the density of states at the Fermi level: 26.84 states/eV/cell. The calculation puts the spin magnetization at 0.0 μB per formula unit.

The space group is C2/m (No. 12) and the conventional cell measures 17.576, 10.122 and 3.665 Å, with angles of 90.00, 90.16 and 90.00 degrees. The inequivalent atoms are Ac at (0.167, 0.000, 0.000), Pr at (0.000, 0.500, 0.000), Sm at (0.000, 0.170, 0.500) and Sm at (0.165, 0.334, 0.500).

***

Entry Q
## Ac2PrSm6 (PBE)

Data for an optimized crystal structure of Ac2PrSm6.

As for the density of states at the Fermi level: 28.29 states/eV/cell. The calculation puts the spin magnetization at 0.0 μB per formula unit.

The space group is C2/m (No. 12) and the conventional cell measures 13.464, 7.772 and 6.374 Å, with angles of 90.00, 90.01 and 90.00 degrees. The inequivalent atoms are Ac at (0.166, 0.000, 0.292), Pr at (0.000, 0.500, 0.500), Sm at (0.094, 0.220, 0.796) and Sm at (0.186, 0.500, 0.204).

***

Relative energies with respect to the most stable structure, expressed in meV/atom: entry P 0; entry Q 127.

***

Entry P
## AcPr6Sm3 (PBE)

Data for an optimized crystal structure of AcPr6Sm3.

As for the density of states at the Fermi level: 28.91 states/eV/cell. The calculation puts the spin magnetization at 0.0 μB per formula unit.

The space group is P2_1/m (No. 11) and the conventional cell measures 12.454, 3.674 and 16.503 Å, with angles of 90.00, 104.23 and 90.00 degrees. The inequivalent atoms are Ac at (0.134, 0.250, 0.062), Pr at (0.112, 0.250, 0.460), Pr at (0.115, 0.750, 0.855), Pr at (0.158, 0.750, 0.274), Pr at (0.339, 0.750, 0.613), Pr at (0.360, 0.250, 0.819), Pr at (0.381, 0.750, 0.022), Sm at (0.112, 0.250, 0.671), Sm at (0.384, 0.250, 0.428) and Sm at (0.399, 0.250, 0.217).

***

Entry Q
## AcPr6Sm3 (PBE)

Data for an optimized crystal structure of AcPr6Sm3.

As for the density of states at the Fermi level: 62.84 states/eV/cell. The calculation puts the spin magnetization at 0.0 μB per formula unit.

The space group is Cmc2_1 (No. 36) and the conventional cell measures 13.774, 14.957 and 7.178 Å, with angles of 90.00, 90.00 and 90.00 degrees. The inequivalent atoms are Ac at (0.000, 0.197, 0.000), Pr at (0.000, 0.004, 0.731), Pr at (0.000, 0.207, 0.494), Pr at (0.116, 0.390, 0.689), Pr at (0.233, 0.290, 0.276), Sm at (0.000, 0.410, 0.216) and Sm at (0.214, 0.025, 0.475).

***

Relative energies with respect to the most stable structure, expressed in meV/atom: entry P 0; entry Q 136.